1.
This record from Alexandria describes a relaxed structure of Ba2HoP2N6. The functional is PBE.

symmetry = R-3m (166)
raw formation energy = -83.9 kJ per mole of atoms
DOS at the Fermi energy = 4.87 states/eV/f.u.
total energy = -7.16 eV/atom

Cell: 5.874 5.874 6.991 Å, 65.16 65.16 60.00°
Atoms (fractional coordinates):
Ba: 0.787 0.787 0.640
Ba: 0.213 0.213 0.360
Ho: 0.000 0.000 0.000
P: 0.414 0.414 0.758
P: 0.586 0.586 0.242
N: 0.741 0.741 0.244
N: 0.275 0.741 0.244
N: 0.741 0.275 0.244
N: 0.259 0.725 0.756
N: 0.725 0.259 0.756
N: 0.259 0.259 0.756



2.
This record from Alexandria describes a relaxed structure of Ba2HoPaN4. The functional is PBE.

symmetry = P2/m (10)
raw formation energy = -113.4 kJ per mole of atoms
DOS at the Fermi energy = 0.81 states/eV/f.u.
total energy = -7.58 eV/atom

Cell: 3.684 6.241 6.734 Å, 108.14 90.00 90.00°
Atoms (fractional coordinates):
Ba: 0.500 0.000 0.500
Ba: 0.000 0.500 0.500
Ho: 0.500 0.500 0.000
Pa: 0.000 0.000 0.000
N: 0.500 0.219 0.187
N: 0.500 0.781 0.813
N: 0.000 0.250 0.812
N: 0.000 0.750 0.188



3.
This record from Alexandria describes a relaxed structure of BaHoReN4. The functional is PBE.

symmetry = P2_1/m (11)
raw formation energy = -84.9 kJ per mole of atoms
DOS at the Fermi energy = 0.00 states/eV/f.u.
total energy = -8.34 eV/atom

Cell: 5.927 5.986 7.440 Å, 90.00 106.69 90.00°
Atoms (fractional coordinates):
Ba: 0.721 0.750 0.930
Ba: 0.279 0.250 0.070
Ho: 0.801 0.750 0.460
Ho: 0.199 0.250 0.540
Re: 0.258 0.750 0.336
Re: 0.742 0.250 0.664
N: 0.947 0.490 0.696
N: 0.053 0.990 0.304
N: 0.053 0.510 0.304
N: 0.947 0.010 0.696
N: 0.449 0.750 0.181
N: 0.551 0.250 0.819
N: 0.456 0.750 0.569
N: 0.544 0.250 0.431



4.
This record from Alexandria describes a relaxed structure of Ba2HoTcN4. The functional is PBE.

symmetry = Fddd (70)
raw formation energy = -32.3 kJ per mole of atoms
DOS at the Fermi energy = 5.01 states/eV/f.u.
total energy = -6.85 eV/atom

Cell: 5.852 6.709 10.901 Å, 83.28 74.43 64.14°
Atoms (fractional coordinates):
Ba: 0.185 0.000 0.630
Ba: 0.815 0.000 0.370
Ba: 0.565 0.500 0.870
Ba: 0.935 0.500 0.130
Ho: 0.750 0.500 0.500
Ho: 0.000 0.000 0.000
Tc: 0.250 0.500 0.500
Tc: 0.500 0.000 0.000
N: 0.346 0.814 0.085
N: 0.245 0.186 0.915
N: 0.840 0.814 0.915
N: 0.569 0.186 0.085
N: 0.404 0.686 0.415
N: 0.505 0.314 0.585
N: 0.910 0.686 0.585
N: 0.181 0.314 0.415



5.
This record from Alexandria describes a relaxed structure of Ba2HoTc2N6. The functional is PBE.

symmetry = C2/m (12)
raw formation energy = -65.1 kJ per mole of atoms
DOS at the Fermi energy = 3.53 states/eV/f.u.
total energy = -7.87 eV/atom

Cell: 6.138 6.205 7.213 Å, 118.42 90.00 119.64°
Atoms (fractional coordinates):
Ba: 0.717 0.433 0.194
Ba: 0.283 0.567 0.806
Ho: 0.500 0.000 0.500
Tc: 0.959 0.917 0.795
Tc: 0.041 0.083 0.205
N: 0.761 0.522 0.650
N: 0.200 0.915 0.233
N: 0.285 0.085 0.767
N: 0.800 0.085 0.767
N: 0.715 0.915 0.233
N: 0.239 0.478 0.350



6.
This record from Alexandria describes a relaxed structure of Ba2HoUN4. The functional is PBE.

symmetry = P2/m (10)
raw formation energy = -109.2 kJ per mole of atoms
DOS at the Fermi energy = 2.91 states/eV/f.u.
total energy = -7.76 eV/atom

Cell: 3.623 6.750 6.099 Å, 72.43 90.00 90.00°
Atoms (fractional coordinates):
Ba: 0.000 0.000 0.000
Ba: 0.500 0.000 0.500
Ho: 0.000 0.500 0.500
U: 0.500 0.500 0.000
N: 0.000 0.676 0.793
N: 0.000 0.324 0.207
N: 0.500 0.675 0.241
N: 0.500 0.325 0.759



7.
This record from Alexandria describes a relaxed structure of Ba3Ho2UN6. The functional is PBE.

symmetry = C2/m (12)
raw formation energy = -106.1 kJ per mole of atoms
total energy = -7.45 eV/atom

Cell: 6.222 6.222 6.705 Å, 98.83 98.83 119.74°
Atoms (fractional coordinates):
Ba: 0.172 0.828 0.500
Ba: 0.828 0.172 0.500
Ba: 0.500 0.500 0.500
Ho: 0.334 0.666 0.000
Ho: 0.666 0.334 0.000
U: 0.000 0.000 0.000
N: 0.938 0.634 0.816
N: 0.754 0.754 0.199
N: 0.062 0.366 0.184
N: 0.634 0.938 0.816
N: 0.246 0.246 0.801
N: 0.366 0.062 0.184



8.
This record from Alexandria describes a relaxed structure of Ba2HoVN4. The functional is PBE.

symmetry = Fddd (70)
raw formation energy = -60.1 kJ per mole of atoms
total energy = -6.98 eV/atom

Cell: 5.649 6.608 11.093 Å, 83.75 75.25 64.69°
Atoms (fractional coordinates):
Ba: 0.188 0.000 0.624
Ba: 0.812 0.000 0.376
Ba: 0.562 0.500 0.876
Ba: 0.938 0.500 0.124
Ho: 0.750 0.500 0.500
Ho: 0.000 0.000 0.000
V: 0.250 0.500 0.500
V: 0.500 0.000 0.000
N: 0.349 0.809 0.080
N: 0.237 0.191 0.920
N: 0.843 0.809 0.920
N: 0.571 0.191 0.080
N: 0.401 0.691 0.420
N: 0.513 0.309 0.580
N: 0.907 0.691 0.580
N: 0.179 0.309 0.420